# 1
Below is a geometry-optimized NbCuSiMo2 structure, with properties calculated at the GGA-PBE level.

## Properties
Polymorph energy (0 for the lowest one) (kcal/mol of atoms): 0.00
DOS at the Fermi energy (states/eV/f.u.): 3.97

Cell lengths 4.637, 4.637, 4.006 Å; angles 90.00, 90.00, 90.00 degrees
Space group P4/mmm (No. 123)
Symmetry-distinct sites (fractional):
Nb 0.000 0.000 0.000 x1
Cu 0.500 0.500 0.500 x1
Si 0.500 0.500 0.000 x1
Mo 0.000 0.500 0.500 x2

---

# 2
Below is a geometry-optimized TlTe2 structure, with properties calculated at the GGA-PBE level.

## Properties
Polymorph energy (0 for the lowest one) (kcal/mol of atoms): 1.77
DOS at the Fermi energy (states/eV/f.u.): 2.07

Cell lengths 6.765, 6.556, 5.292 Å; angles 90.00, 109.56, 90.00 degrees
Space group C2/m (No. 12)
Symmetry-distinct sites (fractional):
Tl 0.000 0.000 0.000 x2
Te 0.097 0.500 0.288 x4

---

# 3
Below is a geometry-optimized TbPaPt2 structure, with properties calculated at the GGA-PBE level.

## Properties
Polymorph energy (0 for the lowest one) (kcal/mol of atoms): 1.60
DOS at the Fermi energy (states/eV/f.u.): 2.55

Cell lengths 3.9711, 3.9711, 21.0664 Å; angles 90.00, 90.00, 120.00 degrees
Space group R-3m (No. 166, hexagonal axes)
Symmetry-distinct sites (fractional):
Tb 0.0000 0.0000 0.0000 x3
Pa 0.0000 0.0000 0.5000 x3
Pt 0.0000 0.0000 0.2450 x6

---

# 4
Below is a geometry-optimized SrPa2PdS8 structure, with properties calculated at the GGA-PBE level.

## Properties
DOS at the Fermi energy (states/eV/f.u.): 1.26
Final energy (eV per atom): -6.0017

Cell lengths 6.2408, 6.2408, 7.8623 Å; angles 90.00, 90.00, 120.00 degrees
Space group P-3m1 (No. 164)
Symmetry-distinct sites (fractional):
Sr 0.0000 0.0000 0.0000 x1
Pa 0.3333 0.6667 0.3869 x2
Pd 0.0000 0.0000 0.5000 x1
S 0.1763 0.3525 0.6741 x6
S 0.3333 0.6667 0.0765 x2

---

# 5
Below is a geometry-optimized LaSmO3 structure, with properties calculated at the GGA-PBE level.

## Properties
DOS at the Fermi energy (states/eV/f.u.): 0.00
Final energy (eV per atom): -8.1885

Cell lengths 5.8984, 5.8984, 17.0675 Å; angles 90.00, 90.00, 120.00 degrees
Space group R32 (No. 155, hexagonal axes)
Symmetry-distinct sites (fractional):
La 0.0000 0.0000 0.1427 x6
Sm 0.0000 0.0000 0.3520 x6
O 0.0129 0.2973 0.2510 x18

---

# 6
Below is a geometry-optimized Ba3GaAs3 structure, with properties calculated at the GGA-PBE level.

## Properties
Final energy (eV per atom): -4.2571

Cell lengths 20.247, 6.911, 13.480 Å; angles 90.00, 90.00, 90.00 degrees
Space group Cmce (No. 64)
Symmetry-distinct sites (fractional):
Ba 0.000 0.178 0.148 x8
Ba 0.175 0.194 0.871 x16
Ga 0.085 0.000 0.500 x8
As 0.000 0.199 0.401 x8
As 0.158 0.198 0.619 x16